Crystalline Hf4NiBiC2 at its relaxed geometry, computed with GGA-PBE.

a b c (Å): 3.349 3.349 13.632
angles (deg): 90.00 90.00 120.00
Atoms (fractional coordinates):
Hf: 0.000 0.000 0.136
Hf: 0.000 0.000 0.864
Hf: 0.333 0.667 0.320
Hf: 0.333 0.667 0.680
Ni: 0.333 0.667 0.000
Bi: 0.000 0.000 0.500
C: 0.667 0.333 0.234
C: 0.667 0.333 0.766

Output
**Theoretical density**: 12.61 g cm⁻³
**SG**: No. 187
**V**: 16.55 Å³/atom
**VASP energy**: -72.37 eV per cell